## La2ScZn (PBE)

Data for crystalline La2ScZn at its relaxed geometry.

abc: 5.9729 5.9729 5.9729
angles: 133.68 133.68 67.58
Last column: nearest neighbours and their distance in Å.
Positions (direct):
Zn 0.7500 0.2500 0.5000  8 La 3.32-3.42, 4 Sc 3.42
La 0.0000 0.0000 0.0000  4 Sc 3.32, 4 La 3.42, 4 Zn 3.42
La 0.2500 0.7500 0.5000  4 Zn 3.32, 4 La 3.42, 4 Sc 3.42
Sc 0.5000 0.5000 0.0000  8 La 3.32-3.42, 4 Zn 3.42

Output
For the formation energy from the elements, the calculation gives -0.008 eV per atom. Its density of states at the Fermi level is 1.472 states/eV per atom.

## La2ScZn (PBE)

Data for crystalline La2ScZn at its relaxed geometry.

abc: 6.5168 6.5168 5.4439
angles: 65.29 65.29 32.89
Last column: nearest neighbours and their distance in Å.
Positions (direct):
La 0.2425 0.2425 0.2569  4 Zn 3.30, 4 La 3.61-3.69, 4 Sc 3.64-3.69
La 0.0308 0.0308 0.9702  2 Zn 3.25, 4 Sc 3.39, 2 La 3.61-3.62
Sc 0.4581 0.4581 0.5430  2 Zn 2.82
Zn 0.7686 0.7686 0.7299  2 Sc 2.82

Output
For the formation energy from the elements, the calculation gives -0.139 eV per atom. Its density of states at the Fermi level is 1.236 states/eV per atom.

## La2ScZn (PBE)

Data for crystalline La2ScZn at its relaxed geometry.

abc: 5.8278 5.8278 5.8278
angles: 131.21 131.21 71.47
Last column: nearest neighbours and their distance in Å.
Positions (direct):
Zn 0.7500 0.2500 0.5000  8 La 3.37, 4 Sc 3.40
La 0.5000 0.5000 0.0000  4 Zn 3.37, 4 Sc 3.37, 4 La 3.40
La 0.0000 0.0000 0.0000  4 Sc 3.37, 4 Zn 3.37, 4 La 3.40
Sc 0.2500 0.7500 0.5000  8 La 3.37, 4 Zn 3.40

Output
For the formation energy from the elements, the calculation gives -0.035 eV per atom. Its density of states at the Fermi level is 1.018 states/eV per atom.